Entry 1:
Entry from OQMD: crystalline CsNaCuAs at its relaxed geometry (PBE).

Values from the calculation:
Crystal system: orthorhombic
Space group: Ama2 (40)

Cell: 6.2342 6.3295 6.3295 Å, 73.34 90.00 90.00°
Sites, in units of the cell vectors:
As: 0.2500 0.2854 0.7427
Na: 0.7500 0.9900 0.6678
Cs: 0.2500 0.0125 0.3259
Cu: 0.0000 0.4878 0.4878
As: 0.7500 0.7427 0.2854
Cu: 0.5000 0.4878 0.4878
Cs: 0.7500 0.3259 0.0125
Na: 0.2500 0.6678 0.9900

Entry 2:
Entry from OQMD: crystalline CsNaCuAs at its relaxed geometry (PBE).

Values from the calculation:
Crystal system: orthorhombic
Space group: Amm2 (38)

Cell: 5.4250 6.7763 6.7763 Å, 101.77 90.00 90.00°
Sites, in units of the cell vectors:
Na: 0.5000 0.0551 0.3575
Na: 0.5000 0.3575 0.0551
As: 0.5000 0.6830 0.6830
As: 0.0000 0.2329 0.2329
Cs: 0.0000 0.6928 0.0396
Cu: 0.2377 0.4696 0.4696
Cs: 0.0000 0.0396 0.6928
Cu: 0.7623 0.4696 0.4696

Entry 3:
Entry from OQMD: crystalline Cs3RbCu2As2 at its relaxed geometry (PBE).

Values from the calculation:
Crystal system: monoclinic
Space group: Pm (6)

Cell: 6.7686 6.5235 6.7898 Å, 90.00 111.03 90.00°
Sites, in units of the cell vectors:
Cs: 0.9918 0.0000 0.3237
Cu: 0.5007 0.2496 0.4973
As: 0.7154 0.0000 0.7245
Rb: 0.3270 0.0000 0.9947
Cs: 0.6745 0.5000 0.0099
Cu: 0.5007 0.7504 0.4973
Cs: 0.0106 0.5000 0.6751
As: 0.2792 0.5000 0.2775

Which E belongs to each record? In order, -2.876 -2.891 -2.839 eV per atom.